The following is a PBE calculation of a relaxed structure of Cd2SiBr, from Alexandria via LeMat-Bulk.

Lattice parameters (Å, degrees): 4.143 5.841 8.004 90.00 90.00 90.00
Space group Cmmm (No. 65)
Unique sites:
Cd 0.000 0.000 0.223 x4
Si 0.000 0.500 0.000 x2
Br 0.000 0.500 0.500 x2

Its total magnetization is 0.00 μB per cell. As for the formation energy (no corrections): 0.476 eV/f.u. As for the energy above the most stable polymorph in this dataset: 0.49 eV/f.u.